(1)
First-principles (GGA-PBE) data for a geometry-optimized LiErScRh structure, as listed in the Alexandria database.

Cell: 6.7385 6.7385 6.7385 Å, 90.00 90.00 90.00°
Space group F-43m (No. 216)
Symmetry-distinct sites (fractional):
1 Li 0.0000 0.0000 0.0000 [4 per cell]
2 Er 0.2500 0.2500 0.2500 [4 per cell]
3 Sc 0.2500 0.2500 0.7500 [4 per cell]
4 Rh 0.0000 0.0000 0.5000 [4 per cell]

Results
The value obtained for the magnetization is 0.000 μB per atom. The value obtained for the density of states at the Fermi level is 0.6683 states/eV/atom. The formation energy is -2.1 eV per formula unit. As for the crystal system: cubic.

---

(2)
First-principles (GGA-PBE) data for a geometry-optimized InMoPb structure, as listed in the Alexandria database.

Cell: 6.7452 6.7452 6.7452 Å, 90.00 90.00 90.00°
Space group F-43m (No. 216)
Symmetry-distinct sites (fractional):
1 In 0.0000 0.0000 0.0000 [4 per cell]
2 Mo 0.2500 0.2500 0.2500 [4 per cell]
3 Pb 0.0000 0.0000 0.5000 [4 per cell]

Results
The value obtained for the magnetization is 0.666 μB per atom. The value obtained for the density of states at the Fermi level is 0.9415 states/eV/atom. The formation energy is 2.3 eV per formula unit. As for the crystal system: cubic.

---

(3)
First-principles (GGA-PBE) data for a geometry-optimized Rh4W3 structure, as listed in the Alexandria database.

Cell: 5.0892 5.0892 4.9021 Å, 90.00 90.00 120.00°
Space group P6/mmm (No. 191)
Symmetry-distinct sites (fractional):
1 Rh 0.0000 0.0000 0.2410 [2 per cell]
2 Rh 0.3333 0.6667 0.0000 [2 per cell]
3 W 0.0000 0.5000 0.5000 [3 per cell]

Results
The value obtained for the magnetization is 0.035 μB per atom. The value obtained for the density of states at the Fermi level is 1.4143 states/eV/atom. The formation energy is 1.0 eV per formula unit. As for the crystal system: hexagonal.

---

(4)
First-principles (GGA-PBE) data for a geometry-optimized NdBiP2Rh5 structure, as listed in the Alexandria database.

Cell: 4.0688 4.0688 10.4303 Å, 90.00 90.00 90.00°
Space group P4/mmm (No. 123)
Symmetry-distinct sites (fractional):
1 Nd 0.0000 0.0000 0.0000 [1 per cell]
2 Bi 0.0000 0.0000 0.5000 [1 per cell]
3 P 0.5000 0.5000 0.2168 [2 per cell]
4 Rh 0.0000 0.5000 0.3152 [4 per cell]
5 Rh 0.5000 0.5000 0.0000 [1 per cell]

Results
The value obtained for the magnetization is 0.000 μB per atom. The value obtained for the density of states at the Fermi level is 0.5531 states/eV/atom. The formation energy is -5.6 eV per formula unit. As for the crystal system: tetragonal.

---

(5)
First-principles (GGA-PBE) data for a geometry-optimized CsSrZnS2 structure, as listed in the Alexandria database.

Cell: 7.9797 5.2231 8.7455 Å, 90.00 100.26 90.00°
Space group P2/c (No. 13)
Symmetry-distinct sites (fractional):
1 Cs 0.0000 0.1725 0.2500 [2 per cell]
2 Sr 0.5000 0.4916 0.7500 [2 per cell]
3 Zn 0.5000 0.0000 0.0000 [2 per cell]
4 S 0.2857 0.2966 0.9667 [4 per cell]

Results
The value obtained for the magnetization is 0.000 μB per atom. The value obtained for the density of states at the Fermi level is 0.4401 states/eV/atom. As for the crystal system: monoclinic. The value obtained for the formation energy without anion corrections is -1.004 eV per atom.

---

(6)
First-principles (GGA-PBE) data for a geometry-optimized Hf2Ir2Ru structure, as listed in the Alexandria database.

Cell: 7.1117 7.1117 3.4970 Å, 90.00 90.00 90.00°
Space group P4/mbm (No. 127)
Symmetry-distinct sites (fractional):
1 Hf 0.1747 0.3253 0.0000 [4 per cell]
2 Ir 0.1296 0.6296 0.5000 [4 per cell]
3 Ru 0.0000 0.0000 0.5000 [2 per cell]

Results
The value obtained for the magnetization is 0.000 μB per atom. The value obtained for the density of states at the Fermi level is 0.6599 states/eV/atom. The formation energy is -2.6 eV per formula unit. As for the crystal system: tetragonal.

---

(7)
First-principles (GGA-PBE) data for a geometry-optimized Pr2Zn7Hg structure, as listed in the Alexandria database.

Cell: 4.3637 4.3637 10.5758 Å, 90.00 90.00 90.00°
Space group P-4m2 (No. 115)
Symmetry-distinct sites (fractional):
1 Pr 0.0000 0.5000 0.2397 [2 per cell]
2 Zn 0.0000 0.0000 0.0000 [1 per cell]
3 Zn 0.0000 0.5000 0.6462 [2 per cell]
4 Zn 0.0000 0.5000 0.8764 [2 per cell]
5 Zn 0.5000 0.5000 0.0000 [1 per cell]
6 Zn 0.5000 0.5000 0.5000 [1 per cell]
7 Hg 0.0000 0.0000 0.5000 [1 per cell]

Results
The value obtained for the magnetization is 0.000 μB per atom. The value obtained for the density of states at the Fermi level is 0.6939 states/eV/atom. The formation energy is -3.0 eV per formula unit. As for the crystal system: tetragonal.

---

(8)
First-principles (GGA-PBE) data for a geometry-optimized CsAlAgS2 structure, as listed in the Alexandria database.

Cell: 5.7504 5.7504 5.7590 Å, 90.00 90.00 90.00°
Space group P4/mmm (No. 123)
Symmetry-distinct sites (fractional):
1 Cs 0.0000 0.0000 0.0000 [1 per cell]
2 Al 0.5000 0.5000 0.5000 [1 per cell]
3 Ag 0.0000 0.0000 0.5000 [1 per cell]
4 S 0.0000 0.5000 0.0000 [2 per cell]

Results
The value obtained for the magnetization is 0.000 μB per atom. The value obtained for the density of states at the Fermi level is 0.9002 states/eV/atom. As for the crystal system: tetragonal. The value obtained for the formation energy without anion corrections is 1.141 eV per atom.

---

(9)
First-principles (GGA-PBE) data for a geometry-optimized Dy2ErSi3Pt4 structure, as listed in the Alexandria database.

Cell: 4.1633 4.1633 10.9970 Å, 90.00 90.00 90.00°
Space group P-4m2 (No. 115)
Symmetry-distinct sites (fractional):
1 Dy 0.0000 0.5000 0.2239 [2 per cell]
2 Er 0.0000 0.0000 0.5000 [1 per cell]
3 Si 0.0000 0.5000 0.8767 [2 per cell]
4 Si 0.5000 0.5000 0.5000 [1 per cell]
5 Pt 0.0000 0.0000 0.0000 [1 per cell]
6 Pt 0.0000 0.5000 0.6617 [2 per cell]
7 Pt 0.5000 0.5000 0.0000 [1 per cell]

Results
The value obtained for the magnetization is 0.000 μB per atom. The value obtained for the density of states at the Fermi level is 0.7501 states/eV/atom. As for the crystal system: tetragonal. The value obtained for the formation energy without anion corrections is -1.064 eV per atom.

---

(10)
First-principles (GGA-PBE) data for a geometry-optimized Pm5Sm2Tl structure, as listed in the Alexandria database.

Cell: 7.1989 14.4165 5.0275 Å, 90.00 90.00 90.00°
Space group Pbam (No. 55)
Symmetry-distinct sites (fractional):
1 Pm 0.0000 0.0000 0.0000 [2 per cell]
2 Pm 0.0011 0.2588 0.0000 [4 per cell]
3 Pm 0.2483 0.1245 0.5000 [4 per cell]
4 Sm 0.2474 0.8760 0.5000 [4 per cell]
5 Tl 0.0000 0.5000 0.0000 [2 per cell]

Results
The value obtained for the magnetization is 0.000 μB per atom. The value obtained for the density of states at the Fermi level is 1.3970 states/eV/atom. The formation energy is -0.4 eV per formula unit. As for the crystal system: orthorhombic.

---

(11)
First-principles (GGA-PBE) data for a geometry-optimized AgMo3W structure, as listed in the Alexandria database.

Cell: 4.7595 4.7595 4.7595 Å, 90.00 90.00 90.00°
Space group Pm-3m (No. 221)
Symmetry-distinct sites (fractional):
1 Ag 0.0000 0.0000 0.0000 [1 per cell]
2 Mo 0.0000 0.5000 0.5000 [3 per cell]
3 W 0.5000 0.5000 0.5000 [1 per cell]

Results
The value obtained for the magnetization is 0.000 μB per atom. The value obtained for the density of states at the Fermi level is 1.2701 states/eV/atom. The formation energy is 8.9 eV per formula unit. As for the crystal system: cubic.

---

(12)
First-principles (GGA-PBE) data for a geometry-optimized Er2Ge3Os structure, as listed in the Alexandria database.

Cell: 4.3624 5.6043 10.1909 Å, 90.00 90.00 90.00°
Space group Immm (No. 71)
Symmetry-distinct sites (fractional):
1 Er 0.0000 0.0000 0.1844 [4 per cell]
2 Ge 0.0000 0.5000 0.1304 [4 per cell]
3 Ge 0.0000 0.5000 0.5000 [2 per cell]
4 Os 0.0000 0.0000 0.5000 [2 per cell]

Results
The value obtained for the magnetization is 0.054 μB per atom. The value obtained for the density of states at the Fermi level is 0.9305 states/eV/atom. The formation energy is -1.5 eV per formula unit. As for the crystal system: orthorhombic.